# 1
# Li2MgZn | the Alexandria database | SCAN | PBEsol geometry
# Calculated formation energy = -10.8 kJ per mole of atoms
# Space group = P4/mmm
data_Li2MgZn
_cell_length_a 3.218
_cell_length_b 3.218
_cell_length_c 6.409
_cell_angle_alpha 90.00
_cell_angle_beta 90.00
_cell_angle_gamma 90.00
_symmetry_space_group_name_H-M 'P 1'
_symmetry_Int_Tables_number 1
loop_
_symmetry_equiv_pos_as_xyz
'x,y,z'
loop_
_atom_site_label
_atom_site_fract_x
_atom_site_fract_y
_atom_site_fract_z
Zn1 0.500 0.500 0.500
Mg1 0.500 0.500 0.000
Li1 0.000 0.000 0.284
Li2 0.000 0.000 0.716



# 2
# SrMgZr2Ti | the Alexandria database | SCAN | PBEsol geometry
# Calculated formation energy = 175.7 kJ per mole of atoms
# Space group = P4/mmm
data_SrMgZr2Ti
_cell_length_a 5.033
_cell_length_b 5.033
_cell_length_c 5.174
_cell_angle_alpha 90.00
_cell_angle_beta 90.00
_cell_angle_gamma 90.00
_symmetry_space_group_name_H-M 'P 1'
_symmetry_Int_Tables_number 1
loop_
_symmetry_equiv_pos_as_xyz
'x,y,z'
loop_
_atom_site_label
_atom_site_fract_x
_atom_site_fract_y
_atom_site_fract_z
Ti1 0.500 0.500 0.500
Mg1 0.000 0.000 0.500
Sr1 0.000 0.000 0.000
Zr1 0.500 0.000 0.000
Zr2 0.000 0.500 0.000



# 3
# Er6CoBi2 | the Alexandria database | SCAN | PBEsol geometry
# Calculated formation energy = -49.0 kJ per mole of atoms
# Space group = P-62m
data_Er6CoBi2
_cell_length_a 3.993
_cell_length_b 8.180
_cell_length_c 8.180
_cell_angle_alpha 120.00
_cell_angle_beta 90.00
_cell_angle_gamma 90.00
_symmetry_space_group_name_H-M 'P 1'
_symmetry_Int_Tables_number 1
loop_
_symmetry_equiv_pos_as_xyz
'x,y,z'
loop_
_atom_site_label
_atom_site_fract_x
_atom_site_fract_y
_atom_site_fract_z
Er1 0.500 0.000 0.609
Er2 0.000 0.769 0.769
Er3 0.500 0.391 0.391
Er4 0.500 0.609 0.000
Er5 0.000 0.000 0.231
Er6 0.000 0.231 0.000
Bi1 0.000 0.333 0.667
Bi2 0.000 0.667 0.333
Co1 0.500 0.000 0.000



# 4
# Ba2ReSi | the Alexandria database | SCAN | PBEsol geometry
# Formation energy from raw total energies = 1.24 eV per atom
# Space group = C2/m
data_Ba2ReSi
_cell_length_a 3.032
_cell_length_b 4.943
_cell_length_c 7.817
_cell_angle_alpha 94.01
_cell_angle_beta 90.00
_cell_angle_gamma 107.86
_symmetry_space_group_name_H-M 'P 1'
_symmetry_Int_Tables_number 1
loop_
_symmetry_equiv_pos_as_xyz
'x,y,z'
loop_
_atom_site_label
_atom_site_fract_x
_atom_site_fract_y
_atom_site_fract_z
Si1 0.000 0.000 0.500
Re1 0.500 0.000 0.000
Ba1 0.746 0.492 0.759
Ba2 0.254 0.508 0.241



# 5
# BaP2H4O4 | the Alexandria database | SCAN | PBEsol geometry
# Electronic total energy = -234.757 eV per cell
# Space group = Ccce
data_BaP2H4O4
_cell_length_a 6.161
_cell_length_b 6.202
_cell_length_c 8.315
_cell_angle_alpha 68.10
_cell_angle_beta 90.00
_cell_angle_gamma 90.00
_symmetry_space_group_name_H-M 'P 1'
_symmetry_Int_Tables_number 1
loop_
_symmetry_equiv_pos_as_xyz
'x,y,z'
loop_
_atom_site_label
_atom_site_fract_x
_atom_site_fract_y
_atom_site_fract_z
P1 0.000 0.354 0.291
P2 0.500 0.146 0.709
P3 0.500 0.854 0.291
P4 0.000 0.646 0.709
Ba1 0.000 0.000 0.000
Ba2 0.500 0.500 0.000
H1 0.871 0.171 0.406
H2 0.129 0.423 0.406
H3 0.629 0.671 0.406
H4 0.129 0.577 0.594
H5 0.629 0.329 0.594
H6 0.871 0.829 0.594
H7 0.371 0.923 0.406
H8 0.371 0.077 0.594
O1 0.148 0.256 0.189
O2 0.148 0.744 0.811
O3 0.648 0.055 0.189
O4 0.852 0.555 0.189
O5 0.352 0.244 0.811
O6 0.852 0.445 0.811
O7 0.648 0.945 0.811
O8 0.352 0.756 0.189



# 6
# IrRuRh2 | the Alexandria database | SCAN | PBEsol geometry
# Calculated formation energy = 1.0 kJ per mole of atoms
# Space group = Cmmm
data_IrRuRh2
_cell_length_a 2.671
_cell_length_b 4.646
_cell_length_c 4.646
_cell_angle_alpha 109.81
_cell_angle_beta 90.00
_cell_angle_gamma 90.00
_symmetry_space_group_name_H-M 'P 1'
_symmetry_Int_Tables_number 1
loop_
_symmetry_equiv_pos_as_xyz
'x,y,z'
loop_
_atom_site_label
_atom_site_fract_x
_atom_site_fract_y
_atom_site_fract_z
Rh1 0.000 0.500 0.000
Rh2 0.000 0.000 0.500
Ir1 0.500 0.500 0.500
Ru1 0.500 0.000 0.000



# 7
# Zr2TcAg | the Alexandria database | SCAN | PBEsol geometry
# Calculated formation energy = -32.7 kJ per mole of atoms
# Space group = P4/mmm
data_Zr2TcAg
_cell_length_a 3.280
_cell_length_b 3.280
_cell_length_c 6.803
_cell_angle_alpha 90.00
_cell_angle_beta 90.00
_cell_angle_gamma 90.00
_symmetry_space_group_name_H-M 'P 1'
_symmetry_Int_Tables_number 1
loop_
_symmetry_equiv_pos_as_xyz
'x,y,z'
loop_
_atom_site_label
_atom_site_fract_x
_atom_site_fract_y
_atom_site_fract_z
Zr1 0.000 0.000 0.729
Zr2 0.000 0.000 0.271
Tc1 0.500 0.500 0.500
Ag1 0.500 0.500 0.000



# 8
# Fe2HgCl | the Alexandria database | SCAN | PBEsol geometry
# Formation energy from raw total energies = 0.40 eV per atom
# Space group = P4/mmm
data_Fe2HgCl
_cell_length_a 2.925
_cell_length_b 4.607
_cell_length_c 4.607
_cell_angle_alpha 90.00
_cell_angle_beta 90.00
_cell_angle_gamma 90.00
_symmetry_space_group_name_H-M 'P 1'
_symmetry_Int_Tables_number 1
loop_
_symmetry_equiv_pos_as_xyz
'x,y,z'
loop_
_atom_site_label
_atom_site_fract_x
_atom_site_fract_y
_atom_site_fract_z
Fe1 0.000 0.500 0.000
Fe2 0.000 0.000 0.500
Cl1 0.500 0.000 0.000
Hg1 0.500 0.500 0.500



# 9
# SrGe2Cl | the Alexandria database | SCAN | PBEsol geometry
# Formation energy from raw total energies = 0.11 eV per atom
# Space group = Fm-3m
data_SrGe2Cl
_cell_length_a 5.146
_cell_length_b 5.146
_cell_length_c 5.146
_cell_angle_alpha 60.00
_cell_angle_beta 60.00
_cell_angle_gamma 60.00
_symmetry_space_group_name_H-M 'P 1'
_symmetry_Int_Tables_number 1
loop_
_symmetry_equiv_pos_as_xyz
'x,y,z'
loop_
_atom_site_label
_atom_site_fract_x
_atom_site_fract_y
_atom_site_fract_z
Ge1 0.750 0.750 0.750
Ge2 0.250 0.250 0.250
Cl1 0.000 0.000 0.000
Sr1 0.500 0.500 0.500



# 10
# ReNi2Pt | the Alexandria database | SCAN | PBEsol geometry
# Calculated formation energy = -5.3 kJ per mole of atoms
# Space group = C2/m
data_ReNi2Pt
_cell_length_a 2.642
_cell_length_b 4.421
_cell_length_c 4.644
_cell_angle_alpha 99.28
_cell_angle_beta 90.00
_cell_angle_gamma 107.39
_symmetry_space_group_name_H-M 'P 1'
_symmetry_Int_Tables_number 1
loop_
_symmetry_equiv_pos_as_xyz
'x,y,z'
loop_
_atom_site_label
_atom_site_fract_x
_atom_site_fract_y
_atom_site_fract_z
Re1 0.500 0.000 0.000
Pt1 0.000 0.000 0.500
Ni1 0.752 0.504 0.771
Ni2 0.248 0.496 0.229



# 11
# YRe2Cl | the Alexandria database | SCAN | PBEsol geometry
# Formation energy from raw total energies = 0.71 eV per atom
# Space group = Cmmm
data_YRe2Cl
_cell_length_a 2.792
_cell_length_b 4.977
_cell_length_c 5.846
_cell_angle_alpha 115.19
_cell_angle_beta 90.00
_cell_angle_gamma 90.00
_symmetry_space_group_name_H-M 'P 1'
_symmetry_Int_Tables_number 1
loop_
_symmetry_equiv_pos_as_xyz
'x,y,z'
loop_
_atom_site_label
_atom_site_fract_x
_atom_site_fract_y
_atom_site_fract_z
Re1 0.000 0.500 0.500
Re2 0.000 0.000 0.500
Y1 0.500 0.000 0.000
Cl1 0.500 0.500 0.000



# 12
# AlSbIr2C | the Alexandria database | SCAN | PBEsol geometry
# Formation energy from raw total energies = 2.85 eV per atom
# Space group = P4/mmm
data_AlSbIr2C
_cell_length_a 4.814
_cell_length_b 4.814
_cell_length_c 5.080
_cell_angle_alpha 90.00
_cell_angle_beta 90.00
_cell_angle_gamma 90.00
_symmetry_space_group_name_H-M 'P 1'
_symmetry_Int_Tables_number 1
loop_
_symmetry_equiv_pos_as_xyz
'x,y,z'
loop_
_atom_site_label
_atom_site_fract_x
_atom_site_fract_y
_atom_site_fract_z
Al1 0.000 0.000 0.500
C1 0.500 0.500 0.500
Ir1 0.500 0.000 0.000
Ir2 0.000 0.500 0.000
Sb1 0.000 0.000 0.000



# 13
# MnSiAsSe2 | the Alexandria database | SCAN | PBEsol geometry
# Formation energy from raw total energies = 0.41 eV per atom
# Space group = P4/mmm
data_MnSiAsSe2
_cell_length_a 4.696
_cell_length_b 4.766
_cell_length_c 4.766
_cell_angle_alpha 90.00
_cell_angle_beta 90.00
_cell_angle_gamma 90.00
_symmetry_space_group_name_H-M 'P 1'
_symmetry_Int_Tables_number 1
loop_
_symmetry_equiv_pos_as_xyz
'x,y,z'
loop_
_atom_site_label
_atom_site_fract_x
_atom_site_fract_y
_atom_site_fract_z
Si1 0.000 0.000 0.000
Mn1 0.500 0.500 0.500
Se1 0.000 0.500 0.000
Se2 0.000 0.000 0.500
As1 0.500 0.000 0.000



# 14
# CuSiNi2 | the Alexandria database | SCAN | PBEsol geometry
# Formation energy from raw total energies = -0.36 eV per atom
# Space group = I4/mmm
data_CuSiNi2
_cell_length_a 3.605
_cell_length_b 4.152
_cell_length_c 3.605
_cell_angle_alpha 115.72
_cell_angle_beta 90.00
_cell_angle_gamma 115.72
_symmetry_space_group_name_H-M 'P 1'
_symmetry_Int_Tables_number 1
loop_
_symmetry_equiv_pos_as_xyz
'x,y,z'
loop_
_atom_site_label
_atom_site_fract_x
_atom_site_fract_y
_atom_site_fract_z
Cu1 0.500 0.000 0.500
Si1 0.000 0.000 0.000
Ni1 0.750 0.500 0.250
Ni2 0.250 0.500 0.750